Compound: HgTe2Rh
Source: Alexandria via LeMat-Bulk
Functional: SCAN
Structure: single point on PBEsol structure

Cell lengths 4.9959, 4.9959, 6.8022 Å; angles 90.00, 90.00, 90.00 degrees
Closest atoms and distances in Å follow each position.
Atoms (fractional coordinates):
Hg: 0.0000 0.0000 0.0000  8 Te 3.02
Hg: 0.5000 0.5000 0.5000  8 Te 3.02
Te: 0.0000 0.5000 0.2500  4 Hg 3.02, 4 Rh 3.02
Te: 0.0000 0.5000 0.7500  4 Hg 3.02, 4 Rh 3.02
Te: 0.5000 0.0000 0.2500  4 Hg 3.02, 4 Rh 3.02
Te: 0.5000 0.0000 0.7500  4 Hg 3.02, 4 Rh 3.02
Rh: 0.0000 0.0000 0.5000  8 Te 3.02
Rh: 0.5000 0.5000 0.0000  8 Te 3.02

Calculated values
Fermi-level density of states: 6.14 states/eV/cell
energy relative to the lowest polymorph listed for this composition: 674 meV per atom
ΔE_f (raw): 1.36 eV per formula unit